1.
A plane-wave DFT calculation with GGA-PBEsol was carried out for a geometry-optimized RbWBr2F structure.

Summary:
* total DFT energy (no corrections): -4.272 eV per atom
* raw formation energy: -0.862 eV/f.u.
* volume: 34.05 Å³ per atom

The structure in CIF format:
```
data_RbWBr2F
_chemical_formula_sum 'Rb1 W1 Br2 F1'
_cell_length_a 4.776
_cell_length_b 4.776
_cell_length_c 7.466
_cell_angle_alpha 90.00
_cell_angle_beta 90.00
_cell_angle_gamma 90.00
_space_group_name_H-M_alt 'P 4/m m m'
_space_group_IT_number 123
_space_group_name_Hall '-P 4 2'
loop_
_atom_site_label
_atom_site_type_symbol
_atom_site_fract_x
_atom_site_fract_y
_atom_site_fract_z
Rb1 Rb 0.000 0.000 0.000
W1 W 0.000 0.000 0.500
Br1 Br 0.000 0.500 0.500
F1 F 0.500 0.500 0.000
```



2.
A plane-wave DFT calculation with GGA-PBEsol was carried out for a geometry-optimized YAl2As structure.

Summary:
* total DFT energy (no corrections): -5.118 eV per atom
* volume: 22.40 Å³ per atom
* E_form: -9 kJ per mole of atoms

The structure in CIF format:
```
data_YAl2As
_chemical_formula_sum 'Y3 Al6 As3'
_cell_length_a 3.6714
_cell_length_b 3.6714
_cell_length_c 23.0221
_cell_angle_alpha 90.00
_cell_angle_beta 90.00
_cell_angle_gamma 120.00
_space_group_name_H-M_alt 'R -3 m'
_space_group_IT_number 166
_space_group_name_Hall '-R 3 2"'
loop_
_atom_site_label
_atom_site_type_symbol
_atom_site_fract_x
_atom_site_fract_y
_atom_site_fract_z
Y1 Y 0.0000 0.0000 0.0000
Al1 Al 0.0000 0.0000 0.2319
As1 As 0.0000 0.0000 0.5000
```



Question: Look up the volume of the second one.
Answer: 22.40 Å³ per atom